{
  "formula": "Pm3ErGe2",
  "functional": "PBE",
  "state": "relaxed",
  "lattice": [[-2.037, -2.889, -2.214], [8.233, -5.652, 3.730], [-6.478, 0.573, 5.213]],
  "species": ["Pm", "Pm", "Pm", "Pm", "Pm", "Pm", "Er", "Er", "Ge", "Ge", "Ge", "Ge"],
  "frac_coords": [[0.322, 0.645, 0.577], [0.976, 0.951, 0.775], [0.593, 0.185, 0.679], [0.407, 0.815, 0.321], [0.024, 0.049, 0.225], [0.678, 0.355, 0.423], [0.809, 0.619, 0.924], [0.191, 0.381, 0.076], [0.581, 0.161, 0.023], [0.419, 0.839, 0.977], [0.794, 0.589, 0.277], [0.206, 0.411, 0.723]],
  "space_group": "C2/m (12)",
  "energy_ev_per_atom": -5.271,
  "dos_ef_per_ev_atom": 0.824
}

***

{
  "formula": "HfScAg",
  "functional": "PBE",
  "state": "relaxed",
  "lattice": [[-1.425, 0.034, 5.158], [1.935, -2.027, 1.538], [4.775, 6.452, -0.824]],
  "species": ["Sc", "Sc", "Hf", "Hf", "Ag", "Ag"],
  "frac_coords": [[0.354, 0.548, 0.497], [0.920, 0.545, 0.059], [0.885, 0.892, 0.716], [0.389, 0.201, 0.840], [0.406, 0.863, 0.180], [0.868, 0.230, 0.376]],
  "space_group": "C2/m (12)",
  "energy_ev_per_atom": -6.500,
  "polymorph_energy_ev_per_fu": 0.06,
  "dos_ef_per_ev_atom": 0.817
}

***

{
  "formula": "Sr2AgIr",
  "functional": "PBE",
  "state": "relaxed",
  "lattice": [[8.381, 0.001, 0.004], [-3.380, 4.110, 0.002], [1.622, 1.331, 3.034]],
  "species": ["Ag", "Ir", "Sr", "Sr"],
  "frac_coords": [[0.000, 0.500, 0.500], [0.500, 0.500, 0.000], [0.000, 0.000, 0.000], [0.500, 0.000, 0.500]],
  "space_group": "P4/mmm (123)",
  "energy_ev_per_atom": -3.849,
  "dos_ef_per_ev_atom": 0.243
}

***

{
  "formula": "HfBi2Ru",
  "functional": "PBE",
  "state": "relaxed",
  "lattice": [[-4.881, 0.049, 1.057], [-3.311, 1.195, -3.544], [-3.002, -3.511, -1.899]],
  "species": ["Ru", "Hf", "Bi", "Bi"],
  "frac_coords": [[0.000, 0.000, 0.000], [0.500, 0.500, 0.500], [0.250, 0.250, 0.250], [0.750, 0.750, 0.750]],
  "space_group": "Fm-3m (225)",
  "energy_ev_per_atom": -6.445,
  "polymorph_energy_ev_per_fu": 0.00,
  "dos_ef_per_ev_atom": 1.501
}

***

{
  "formula": "KCd4InAu2",
  "functional": "PBE",
  "state": "relaxed",
  "lattice": [[5.258, 0.000, 0.000], [2.629, 4.554, 0.000], [2.629, 1.518, 8.103]],
  "species": ["K", "Cd", "Cd", "Cd", "Cd", "In", "Au", "Au"],
  "frac_coords": [[0.000, 0.000, 0.000], [0.380, 0.380, 0.859], [0.860, 0.860, 0.420], [0.140, 0.140, 0.580], [0.620, 0.620, 0.141], [0.500, 0.500, 0.500], [0.739, 0.739, 0.783], [0.261, 0.261, 0.217]],
  "space_group": "R-3m (166)",
  "energy_ev_per_atom": -1.779,
  "dos_ef_per_ev_atom": 0.412
}

***

{
  "formula": "Ac2GePt4",
  "functional": "PBE",
  "state": "relaxed",
  "lattice": [[5.709, 0.000, -1.838], [0.000, 6.173, 0.000], [0.408, 0.000, 8.877]],
  "species": ["Ac", "Ac", "Ac", "Ac", "Ge", "Ge", "Pt", "Pt", "Pt", "Pt", "Pt", "Pt", "Pt", "Pt"],
  "frac_coords": [[0.276, 0.250, 0.033], [0.724, 0.750, 0.967], [0.148, 0.750, 0.402], [0.852, 0.250, 0.598], [0.870, 0.250, 0.226], [0.130, 0.750, 0.774], [0.615, 0.532, 0.299], [0.738, 0.250, 0.933], [0.262, 0.750, 0.067], [0.615, 0.968, 0.299], [0.728, 0.750, 0.602], [0.385, 0.032, 0.701], [0.385, 0.468, 0.701], [0.272, 0.250, 0.398]],
  "space_group": "P2_1/m (11)",
  "energy_ev_per_atom": -6.302,
  "dos_ef_per_ev_atom": 0.461
}

***

{
  "formula": "LiCu2Ru",
  "functional": "PBE",
  "state": "relaxed",
  "lattice": [[4.492, 0.000, 0.000], [0.000, 4.492, 0.000], [0.000, 0.000, 2.563]],
  "species": ["Cu", "Cu", "Li", "Ru"],
  "frac_coords": [[0.000, 0.000, 0.000], [0.500, 0.500, 0.000], [0.500, 0.000, 0.500], [0.000, 0.500, 0.500]],
  "space_group": "P4/mmm (123)",
  "energy_ev_per_atom": -4.762,
  "polymorph_energy_ev_per_fu": 0.19,
  "dos_ef_per_ev_atom": 0.865
}

***

{
  "formula": "Cs4ThS5",
  "functional": "PBE",
  "state": "relaxed",
  "lattice": [[7.175, 0.000, 0.000], [3.587, 7.608, 0.000], [3.587, 0.000, 7.608]],
  "species": ["Cs", "Cs", "Cs", "Cs", "Th", "S", "S", "S", "S", "S"],
  "frac_coords": [[0.417, 0.390, 0.790], [0.807, 0.790, 0.610], [0.207, 0.210, 0.390], [0.597, 0.610, 0.210], [0.060, 0.000, 0.000], [0.920, 0.317, 0.839], [0.237, 0.839, 0.683], [0.759, 0.161, 0.317], [0.076, 0.683, 0.161], [0.429, 0.000, 0.000]],
  "space_group": "I4 (79)",
  "energy_ev_per_atom": -4.292,
  "raw_formation_energy_ev_per_atom": -1.14,
  "dos_ef_per_ev_atom": 1.341
}

***

{
  "formula": "BaCa2Ni",
  "functional": "PBE",
  "state": "relaxed",
  "lattice": [[5.524, -0.286, 0.609], [2.879, 4.539, 1.440], [2.263, 0.367, 5.071]],
  "species": ["Ni", "Ca", "Ca", "Ba"],
  "frac_coords": [[0.000, 0.000, 0.000], [0.250, 0.250, 0.250], [0.750, 0.750, 0.750], [0.500, 0.500, 0.500]],
  "space_group": "Fm-3m (225)",
  "energy_ev_per_atom": -2.575,
  "polymorph_energy_ev_per_fu": 1.25,
  "dos_ef_per_ev_atom": 1.364
}

***

{
  "formula": "LaPr4Ho5",
  "functional": "PBE",
  "state": "relaxed",
  "lattice": [[3.390, -0.089, -1.300], [-0.336, 7.094, -1.348], [-0.440, 0.804, 14.018]],
  "species": ["La", "Pr", "Pr", "Pr", "Pr", "Ho", "Ho", "Ho", "Ho", "Ho"],
  "frac_coords": [[0.500, 0.000, 0.000], [0.308, 0.799, 0.205], [0.693, 0.696, 0.795], [0.692, 0.201, 0.795], [0.307, 0.304, 0.205], [0.108, 0.601, 0.405], [0.106, 0.101, 0.404], [0.894, 0.899, 0.596], [0.500, 0.500, 0.000], [0.892, 0.399, 0.595]],
  "space_group": "C2/m (12)",
  "energy_ev_per_atom": -4.673,
  "dos_ef_per_ev_atom": 1.407
}

***

{
  "formula": "V2Fe4Ge",
  "functional": "PBE",
  "state": "relaxed",
  "lattice": [[-1.052, 4.063, -0.780], [-1.785, -1.172, -3.697], [-6.728, 0.613, 0.589]],
  "species": ["Ge", "Fe", "Fe", "Fe", "Fe", "V", "V"],
  "frac_coords": [[0.000, 0.000, 0.000], [0.199, 0.199, 0.603], [0.801, 0.801, 0.397], [0.000, 0.500, 0.000], [0.500, 0.000, 0.000], [0.379, 0.379, 0.242], [0.621, 0.621, 0.758]],
  "space_group": "I4/mmm (139)",
  "energy_ev_per_atom": -7.225,
  "dos_ef_per_ev_atom": 1.103
}

***

{
  "formula": "Hf2FeGeS",
  "functional": "PBE",
  "state": "relaxed",
  "lattice": [[-3.523, -3.341, -0.445], [1.731, -1.322, -3.782], [2.761, -3.230, 2.392]],
  "species": ["S", "Ge", "Hf", "Hf", "Fe"],
  "frac_coords": [[0.500, 0.500, 0.500], [0.000, 0.500, 0.000], [0.000, 0.000, 0.500], [0.500, 0.000, 0.000], [0.000, 0.000, 0.000]],
  "space_group": "P4/mmm (123)",
  "energy_ev_per_atom": -7.455,
  "raw_formation_energy_ev_per_atom": -0.03,
  "dos_ef_per_ev_atom": 0.494
}

***

{
  "formula": "Y3NpIr8",
  "functional": "PBE",
  "state": "relaxed",
  "lattice": [[5.363, 0.000, 0.000], [2.682, 4.645, 0.000], [2.682, 1.548, 8.746]],
  "species": ["Y", "Y", "Y", "Np", "Ir", "Ir", "Ir", "Ir", "Ir", "Ir", "Ir", "Ir"],
  "frac_coords": [[0.374, 0.374, 0.877], [0.000, 0.000, 0.999], [0.500, 0.500, 0.501], [0.876, 0.876, 0.373], [0.935, 0.438, 0.190], [0.440, 0.937, 0.686], [0.438, 0.438, 0.190], [0.937, 0.937, 0.686], [0.187, 0.187, 0.438], [0.688, 0.688, 0.937], [0.438, 0.935, 0.190], [0.937, 0.440, 0.686]],
  "space_group": "R3m (160)",
  "energy_ev_per_atom": -9.296,
  "dos_ef_per_ev_atom": 1.031
}

***

{
  "formula": "Be2Ni5P",
  "functional": "PBE",
  "state": "relaxed",
  "lattice": [[3.615, 0.000, 0.000], [0.000, 4.801, 0.000], [0.000, 0.000, 9.210]],
  "species": ["Be", "Be", "Be", "Be", "Ni", "Ni", "Ni", "Ni", "Ni", "Ni", "Ni", "Ni", "Ni", "Ni", "P", "P"],
  "frac_coords": [[0.500, 0.366, 0.352], [0.500, 0.634, 0.648], [0.500, 0.134, 0.852], [0.500, 0.866, 0.148], [0.500, 0.323, 0.106], [0.500, 0.677, 0.894], [0.500, 0.823, 0.394], [0.500, 0.177, 0.606], [0.000, 0.883, 0.730], [0.000, 0.117, 0.270], [0.000, 0.383, 0.770], [0.000, 0.617, 0.230], [0.000, 0.500, 0.500], [0.000, 0.000, 0.000], [0.000, 0.000, 0.500], [0.000, 0.500, 0.000]],
  "space_group": "Pbam (55)",
  "energy_ev_per_atom": -5.641,
  "dos_ef_per_ev_atom": 0.510
}

***

{
  "formula": "Tb3Y5Sb8",
  "functional": "PBE",
  "state": "relaxed",
  "lattice": [[7.630, 0.000, 4.370], [2.563, 7.186, 4.370], [0.031, 0.022, 8.791]],
  "species": ["Tb", "Tb", "Tb", "Y", "Y", "Y", "Y", "Y", "Sb", "Sb", "Sb", "Sb", "Sb", "Sb", "Sb", "Sb"],
  "frac_coords": [[0.500, 0.000, 0.500], [0.000, 0.000, 0.500], [0.000, 0.500, 0.500], [0.500, 0.000, 0.000], [0.500, 0.500, 0.000], [0.000, 0.000, 0.000], [0.000, 0.500, 0.000], [0.500, 0.500, 0.500], [0.250, 0.250, 0.750], [0.250, 0.750, 0.750], [0.750, 0.250, 0.750], [0.750, 0.750, 0.751], [0.750, 0.750, 0.250], [0.750, 0.250, 0.250], [0.250, 0.750, 0.250], [0.250, 0.250, 0.249]],
  "space_group": "R-3m (166)",
  "energy_ev_per_atom": -6.109,
  "raw_formation_energy_ev_per_atom": -1.16,
  "dos_ef_per_ev_atom": 0.163
}

***

{
  "formula": "LaNd5Se6",
  "functional": "PBE",
  "state": "relaxed",
  "lattice": [[7.231, -0.128, -1.361], [-3.920, 6.077, -1.361], [0.143, 0.256, 7.349]],
  "species": ["Nd", "Nd", "Nd", "Nd", "Nd", "Se", "Se", "Se", "Se", "Se", "Se", "La"],
  "frac_coords": [[0.833, 0.167, 0.500], [0.668, 0.332, 0.000], [0.500, 0.500, 0.500], [0.332, 0.668, 0.000], [0.167, 0.833, 0.500], [0.419, 0.084, 0.252], [0.916, 0.581, 0.748], [0.252, 0.252, 0.749], [0.748, 0.748, 0.251], [0.084, 0.419, 0.252], [0.581, 0.916, 0.748], [0.000, 0.000, 0.000]],
  "space_group": "C2/m (12)",
  "energy_ev_per_atom": -6.009,
  "raw_formation_energy_ev_per_atom": -1.87,
  "dos_ef_per_ev_atom": 0.495
}

***

{
  "formula": "Sc3HSe",
  "functional": "PBE",
  "state": "relaxed",
  "lattice": [[-0.991, -4.082, 1.053], [0.303, -1.148, -4.165], [4.205, -0.879, 0.548]],
  "species": ["Sc", "Sc", "Sc", "H", "Se"],
  "frac_coords": [[0.000, 0.500, 0.000], [0.000, 0.000, 0.500], [0.500, 0.000, 0.000], [0.000, 0.000, 0.000], [0.500, 0.500, 0.500]],
  "space_group": "Pm-3m (221)",
  "energy_ev_per_atom": -5.624,
  "polymorph_energy_ev_per_fu": 1.40,
  "dos_ef_per_ev_atom": 0.853
}

***

{
  "formula": "Zn3Se",
  "functional": "PBE",
  "state": "relaxed",
  "lattice": [[3.073, -0.112, 0.000], [-0.739, 2.984, 0.000], [0.000, 0.000, 7.919]],
  "species": ["Se", "Zn", "Zn", "Zn"],
  "frac_coords": [[0.000, 0.000, 0.000], [0.500, 0.500, 0.739], [0.000, 0.000, 0.500], [0.500, 0.500, 0.261]],
  "space_group": "Cmmm (65)",
  "energy_ev_per_atom": -1.676,
  "polymorph_energy_ev_per_fu": 1.27,
  "raw_formation_energy_ev_per_atom": 0.15,
  "dos_ef_per_ev_atom": 0.362
}

***

{
  "formula": "ZnH",
  "functional": "PBE",
  "state": "relaxed",
  "lattice": [[4.698, 0.000, 0.000], [0.000, 13.009, 0.000], [0.000, 0.000, 7.075]],
  "species": ["Zn", "Zn", "Zn", "Zn", "Zn", "Zn", "Zn", "Zn", "Zn", "Zn", "Zn", "Zn", "Zn", "Zn", "Zn", "Zn", "H", "H", "H", "H", "H", "H", "H", "H", "H", "H", "H", "H", "H", "H", "H", "H"],
  "frac_coords": [[0.000, 0.185, 0.000], [0.000, 0.815, 0.000], [0.250, 0.565, 0.250], [0.250, 0.935, 0.250], [0.000, 0.685, 0.500], [0.000, 0.315, 0.500], [0.250, 0.065, 0.750], [0.250, 0.435, 0.750], [0.500, 0.185, 0.500], [0.500, 0.815, 0.500], [0.750, 0.565, 0.750], [0.750, 0.935, 0.750], [0.500, 0.685, 0.000], [0.500, 0.315, 0.000], [0.750, 0.065, 0.250], [0.750, 0.435, 0.250], [0.000, 0.000, 0.633], [0.000, 0.000, 0.367], [0.250, 0.750, 0.617], [0.250, 0.750, 0.883], [0.000, 0.500, 0.133], [0.000, 0.500, 0.867], [0.250, 0.250, 0.117], [0.250, 0.250, 0.383], [0.500, 0.000, 0.133], [0.500, 0.000, 0.867], [0.750, 0.750, 0.117], [0.750, 0.750, 0.383], [0.500, 0.500, 0.633], [0.500, 0.500, 0.367], [0.750, 0.250, 0.617], [0.750, 0.250, 0.883]],
  "space_group": "Fddd (70)",
  "energy_ev_per_atom": -1.940,
  "dos_ef_per_ev_atom": 0.249
}

***

{
  "formula": "Li2CeThSi2",
  "functional": "PBE",
  "state": "relaxed",
  "lattice": [[4.464, 0.000, 0.000], [-2.232, 3.866, 0.000], [0.000, 0.000, 7.270]],
  "species": ["Li", "Li", "Ce", "Th", "Si", "Si"],
  "frac_coords": [[0.333, 0.667, 0.734], [0.667, 0.333, 0.266], [0.000, 0.000, 0.500], [0.000, 0.000, 0.000], [0.333, 0.667, 0.251], [0.667, 0.333, 0.749]],
  "space_group": "P-3m1 (164)",
  "energy_ev_per_atom": -5.124,
  "raw_formation_energy_ev_per_atom": -0.45,
  "dos_ef_per_ev_atom": 1.289
}

***

{
  "formula": "Tm4GeBi2Se",
  "functional": "PBE",
  "state": "relaxed",
  "lattice": [[4.228, 0.000, 0.000], [0.000, 7.325, 0.132], [0.000, -2.557, 6.985]],
  "species": ["Tm", "Tm", "Tm", "Tm", "Ge", "Bi", "Bi", "Se"],
  "frac_coords": [[0.500, 0.253, 0.230], [0.500, 0.747, 0.770], [0.000, 0.265, 0.775], [0.000, 0.735, 0.225], [0.500, 0.500, 0.000], [0.500, 0.000, 0.500], [0.000, 0.500, 0.500], [0.000, 0.000, 0.000]],
  "space_group": "P2/m (10)",
  "energy_ev_per_atom": -5.249,
  "raw_formation_energy_ev_per_atom": -1.03,
  "dos_ef_per_ev_atom": 0.207
}

***

{
  "formula": "Sc5Ga2Co2Pd",
  "functional": "PBE",
  "state": "relaxed",
  "lattice": [[3.269, 0.000, 0.000], [0.000, 10.607, 0.000], [0.000, 0.000, 10.607]],
  "species": ["Sc", "Sc", "Sc", "Sc", "Sc", "Sc", "Sc", "Sc", "Sc", "Sc", "Ga", "Ga", "Ga", "Ga", "Co", "Co", "Co", "Co", "Pd", "Pd"],
  "frac_coords": [[0.500, 0.201, 0.079], [0.500, 0.799, 0.921], [0.500, 0.079, 0.799], [0.500, 0.701, 0.421], [0.500, 0.921, 0.201], [0.500, 0.299, 0.579], [0.500, 0.579, 0.701], [0.500, 0.421, 0.299], [0.500, 0.500, 0.000], [0.500, 0.000, 0.500], [0.000, 0.672, 0.172], [0.000, 0.328, 0.828], [0.000, 0.172, 0.328], [0.000, 0.828, 0.672], [0.000, 0.135, 0.635], [0.000, 0.865, 0.365], [0.000, 0.635, 0.865], [0.000, 0.365, 0.135], [0.000, 0.000, 0.000], [0.000, 0.500, 0.500]],
  "space_group": "P4/mbm (127)",
  "energy_ev_per_atom": -6.165,
  "dos_ef_per_ev_atom": 0.535
}

***

{
  "formula": "Zr2MnZn2",
  "functional": "PBE",
  "state": "relaxed",
  "lattice": [[-1.583, -2.147, -1.945], [2.677, -0.237, -1.917], [3.379, -7.579, 2.812]],
  "species": ["Zn", "Zn", "Mn", "Zr", "Zr"],
  "frac_coords": [[0.750, 0.250, 0.500], [0.250, 0.750, 0.500], [0.000, 0.000, 0.000], [0.409, 0.409, 0.182], [0.591, 0.591, 0.818]],
  "space_group": "I4/mmm (139)",
  "energy_ev_per_atom": -5.584,
  "polymorph_energy_ev_per_fu": 0.56,
  "dos_ef_per_ev_atom": 0.979
}